Pr2Nd3DyEr6 | PBE-GGA | optimized geometry

Cell lengths 6.2275, 6.2275, 11.7812 Å; angles 95.04, 95.04, 119.99 degrees
With the nearest neighbours (Å) after each atom.
Element x y z (fractional)
Pr 0.3335 0.6665 0.0000  6 Er 3.56, 3 Pr 3.59-3.60, 3 Dy 3.59-3.60
Pr 0.6665 0.3335 0.0000  6 Er 3.56, 3 Pr 3.59-3.60, 3 Dy 3.59-3.60
Nd 0.1668 0.8332 0.5000  6 Er 3.57, 6 Nd 3.59-3.60
Nd 0.8332 0.1668 0.5000  6 Er 3.57, 6 Nd 3.59-3.60
Nd 0.5000 0.5000 0.5000  6 Er 3.57, 6 Nd 3.59-3.60
Dy 0.0000 0.0000 0.0000  6 Er 3.56, 6 Pr 3.59-3.60
Er 0.9166 0.5838 0.7505  1 Dy 3.56, 2 Pr 3.56, 3 Nd 3.57, 6 Er 3.59-3.60
Er 0.7508 0.7508 0.2498  1 Dy 3.56, 2 Pr 3.56, 3 Nd 3.57, 6 Er 3.59-3.60
Er 0.0834 0.4162 0.2495  1 Dy 3.56, 2 Pr 3.56, 3 Nd 3.57, 6 Er 3.59-3.60
Er 0.5838 0.9166 0.7505  1 Dy 3.56, 2 Pr 3.56, 3 Nd 3.57, 6 Er 3.59-3.60
Er 0.2492 0.2492 0.7502  1 Dy 3.56, 2 Pr 3.56, 3 Nd 3.57, 6 Er 3.59-3.60
Er 0.4162 0.0834 0.2495  1 Dy 3.56, 2 Pr 3.56, 3 Nd 3.57, 6 Er 3.59-3.60

Calculated values
As for the symmetry: C2/m (12). The energy of formation comes out at 0.18 eV per formula unit. Its calculated total energy is -4.64 eV/atom.